# 1
A relaxed DyScTl2O6 crystal, computed with GGA-PBE.

Unit cell a=5.7077 b=5.7077 c=15.1279 alpha=90.00 beta=90.00 gamma=120.00
Space group R3 (No. 146, hexagonal axes)
Unique sites:
Dy 0.0000 0.0000 0.0000 [3 per cell]
Sc 0.0000 0.0000 0.4961 [3 per cell]
Tl 0.0000 0.0000 0.2784 [3 per cell]
Tl 0.0000 0.0000 0.7812 [3 per cell]
O 0.0434 0.3464 0.5628 [9 per cell]
O 0.0530 0.6799 0.0671 [9 per cell]

Summary:
- VASP energy (eV per atom) = -6.606
- total moment (μB per atom) = 0.000

---

# 2
A relaxed Dy2ScTlO6 crystal, computed with GGA-PBE.

Unit cell a=5.7074 b=5.7074 c=15.0349 alpha=90.00 beta=90.00 gamma=120.00
Space group R3 (No. 146, hexagonal axes)
Unique sites:
Dy 0.0000 0.0000 0.0000 [3 per cell]
Dy 0.0000 0.0000 0.4944 [3 per cell]
Sc 0.0000 0.0000 0.7840 [3 per cell]
Tl 0.0000 0.0000 0.2770 [3 per cell]
O 0.0019 0.2837 0.8859 [9 per cell]
O 0.0141 0.6426 0.0582 [9 per cell]

Summary:
- VASP energy (eV per atom) = -7.567
- total moment (μB per atom) = 0.000

---

# 3
A relaxed Dy2ScTlO crystal, computed with GGA-PBE.

Unit cell a=4.802 b=4.802 c=4.475 alpha=90.00 beta=90.00 gamma=90.00
Space group P4/mmm (No. 123)
Unique sites:
Dy 0.000 0.500 0.000 [2 per cell]
Sc 0.000 0.000 0.500 [1 per cell]
Tl 0.500 0.500 0.500 [1 per cell]
O 0.000 0.000 0.000 [1 per cell]

Summary:
- VASP energy (eV per atom) = -5.932
- total moment (μB per atom) = 0.000